[1]
The following is a PBE calculation of crystalline LiTc2Sn at its relaxed geometry, from Alexandria.

**E_form**: 0.40 eV/atom

a = 9.8637 Å, b = 9.8637 Å, c = 9.8637 Å
α = 157.71°, β = 157.71°, γ = 31.72°
With the nearest neighbours (Å) after each atom.
Element x y z (fractional)
Li: 0.0000 0.0000 0.0000  4 Tc 2.65, 4 Sn 2.70
Li: 0.7500 0.2500 0.5000  4 Tc 2.65, 4 Sn 2.70
Tc: 0.0616 0.1250 0.4366  2 Tc 2.38, 2 Li 2.65
Tc: 0.3750 0.9384 0.0634  2 Tc 2.38, 2 Li 2.65
Tc: 0.6884 0.6250 0.5634  2 Tc 2.38, 2 Li 2.65
Tc: 0.8750 0.3116 0.9366  2 Tc 2.38, 2 Li 2.65
Sn: 0.2500 0.7500 0.5000  4 Li 2.70, 4 Tc 2.82
Sn: 0.5000 0.5000 0.0000  4 Li 2.70, 4 Tc 2.82

[2]
The following is a PBE calculation of crystalline LiTcSn3 at its relaxed geometry, from Alexandria.

**E_form**: 0.21 eV/atom
**Relative energy among the computed polymorphs**: 0.098 eV per atom

a = 5.2131 Å, b = 5.2131 Å, c = 5.2131 Å
α = 90.00°, β = 90.00°, γ = 90.00°
With the nearest neighbours (Å) after each atom.
Element x y z (fractional)
Li: 0.0000 0.0000 0.0000  12 Sn 3.69
Tc: 0.5000 0.5000 0.5000  6 Sn 2.61
Sn: 0.0000 0.5000 0.5000  2 Tc 2.61
Sn: 0.5000 0.0000 0.5000  2 Tc 2.61
Sn: 0.5000 0.5000 0.0000  2 Tc 2.61

[3]
The following is a PBE calculation of crystalline LiTcSn3 at its relaxed geometry, from Alexandria.

**E_form**: 0.11 eV/atom
**Relative energy among the computed polymorphs**: 0.000 eV per atom

a = 7.7697 Å, b = 7.7697 Å, c = 7.7697 Å
α = 46.36°, β = 46.36°, γ = 46.36°
With the nearest neighbours (Å) after each atom.
Element x y z (fractional)
Li: 0.1762 0.1762 0.1762  6 Sn 2.75-2.76, 1 Tc 3.08
Li: 0.8238 0.8238 0.8238  6 Sn 2.75-2.76, 1 Tc 3.08
Tc: 0.3245 0.3245 0.3245  6 Sn 2.70-2.72
Tc: 0.6755 0.6755 0.6755  6 Sn 2.70-2.72
Sn: 0.1188 0.3782 0.7478  2 Tc 2.70-2.72, 2 Li 2.75-2.76
Sn: 0.2522 0.8812 0.6218  2 Tc 2.70-2.72, 2 Li 2.75-2.76
Sn: 0.3782 0.7478 0.1188  2 Tc 2.70-2.72, 2 Li 2.75-2.76
Sn: 0.6218 0.2522 0.8812  2 Tc 2.70-2.72, 2 Li 2.75-2.76
Sn: 0.7478 0.1188 0.3782  2 Tc 2.70-2.72, 2 Li 2.75-2.76
Sn: 0.8812 0.6218 0.2522  2 Tc 2.70-2.72, 2 Li 2.75-2.76

[4]
The following is a PBE calculation of crystalline LiTcSn6 at its relaxed geometry, from Alexandria.

**E_form**: 0.06 eV/atom

a = 6.1738 Å, b = 6.1738 Å, c = 6.1602 Å
α = 105.53°, β = 105.53°, γ = 102.43°
With the nearest neighbours (Å) after each atom.
Element x y z (fractional)
Li: 0.0000 0.0000 0.0000  4 Sn 2.71
Tc: 0.0000 0.0000 0.5000  6 Sn 2.66-2.71
Sn: 0.1560 0.7031 0.2125  1 Tc 2.71, 1 Li 2.71, 2 Sn 2.93-2.96
Sn: 0.2969 0.8440 0.7875  1 Tc 2.71, 1 Li 2.71, 2 Sn 2.93-2.96
Sn: 0.3786 0.3786 0.6535  1 Tc 2.66, 2 Sn 2.96
Sn: 0.6214 0.6214 0.3465  1 Tc 2.66, 2 Sn 2.96
Sn: 0.7031 0.1560 0.2125  1 Tc 2.71, 1 Li 2.71, 2 Sn 2.93-2.96
Sn: 0.8440 0.2969 0.7875  1 Tc 2.71, 1 Li 2.71, 2 Sn 2.93-2.96

Magnetic moment (μB/atom)
0.000, 0.293, 0.070, 0.000